No. 1
Compound: CaTm2PuSb4
Source: Alexandria
Functional: PBE-GGA
Structure: optimized geometry

Cell: 7.594 4.406 7.652 Å, 90.00 109.20 90.00°
Space group P2/m (No. 10)
Inequivalent atoms, fractional coordinates:
Ca: 0.000 0.000 0.000
Tm: 0.000 0.500 0.500
Tm: 0.500 0.000 0.500
Pu: 0.500 0.500 0.000
Sb: 0.251 0.000 0.743
Sb: 0.258 0.500 0.259

Properties
The value obtained for the total magnetization is 0.577 μB/atom. Its uncorrected formation energy is -0.87 eV/atom.

=====

No. 2
Compound: CaPu2USb4
Source: Alexandria
Functional: PBE-GGA
Structure: optimized geometry

Cell: 7.638 4.418 7.715 Å, 90.00 109.12 90.00°
Space group P2/m (No. 10)
Inequivalent atoms, fractional coordinates:
Ca: 0.000 0.000 0.000
Pu: 0.500 0.000 0.500
Pu: 0.500 0.500 0.000
U: 0.000 0.500 0.500
Sb: 0.248 0.000 0.743
Sb: 0.253 0.500 0.259

Properties
The value obtained for the total magnetization is 1.502 μB/atom. Its uncorrected formation energy is -0.56 eV/atom.

=====

No. 3
Compound: Ca2PuUSb4
Source: Alexandria
Functional: PBE-GGA
Structure: optimized geometry

Cell: 7.704 4.479 7.758 Å, 90.00 109.59 90.00°
Space group P2/m (No. 10)
Inequivalent atoms, fractional coordinates:
Ca: 0.000 0.000 0.000
Ca: 0.000 0.500 0.500
Pu: 0.500 0.000 0.500
U: 0.500 0.500 0.000
Sb: 0.266 0.500 0.250
Sb: 0.267 0.000 0.761

Properties
The value obtained for the total magnetization is 0.755 μB/atom. Its uncorrected formation energy is -0.64 eV/atom.

=====

No. 4
Compound: CaPuZnSb
Source: Alexandria
Functional: PBE-GGA
Structure: optimized geometry

Cell: 7.480 7.480 7.480 Å, 90.00 90.00 90.00°
Space group F-43m (No. 216)
Inequivalent atoms, fractional coordinates:
Ca: 0.000 0.000 0.000
Pu: 0.000 0.000 0.500
Zn: 0.250 0.250 0.250
Sb: 0.250 0.250 0.750

Properties
The value obtained for the total magnetization is 1.628 μB/atom. Its uncorrected formation energy is -0.40 eV/atom.

=====

No. 5
Compound: Ca2PuZrSb4
Source: Alexandria
Functional: PBE-GGA
Structure: optimized geometry

Cell: 7.547 4.351 7.729 Å, 90.00 108.75 90.00°
Space group P2/m (No. 10)
Inequivalent atoms, fractional coordinates:
Ca: 0.000 0.000 0.000
Ca: 0.500 0.500 0.000
Pu: 0.000 0.500 0.500
Zr: 0.500 0.000 0.500
Sb: 0.255 0.000 0.733
Sb: 0.266 0.500 0.272

Properties
The value obtained for the total magnetization is 0.567 μB/atom. Its uncorrected formation energy is -0.75 eV/atom.

=====

No. 6
Compound: CaPuSc2
Source: Alexandria
Functional: PBE-GGA
Structure: optimized geometry

Cell: 3.3210 3.3210 34.9073 Å, 90.00 90.00 120.00°
Space group R-3m (No. 166, hexagonal axes)
Inequivalent atoms, fractional coordinates:
Ca: 0.0000 0.0000 0.0000
Pu: 0.0000 0.0000 0.5000
Sc: 0.0000 0.0000 0.0920

Properties
The calculation puts the formation energy at 279 meV per atom. The value obtained for the total magnetization is 1.359 μB/atom.

=====

No. 7
Compound: CaPuSc2
Source: Alexandria
Functional: PBE-GGA
Structure: optimized geometry

Cell: 3.389 3.389 9.752 Å, 90.00 90.00 90.00°
Space group P4/mmm (No. 123)
Inequivalent atoms, fractional coordinates:
Ca: 0.000 0.000 0.000
Pu: 0.000 0.000 0.500
Sc: 0.500 0.500 0.280

Properties
The calculation puts the formation energy at 176 meV per atom. The value obtained for the total magnetization is 1.478 μB/atom.

=====

No. 8
Compound: Ca2PuScSe4
Source: Alexandria
Functional: PBE-GGA
Structure: optimized geometry

Cell: 7.083 4.090 7.183 Å, 90.00 109.17 90.00°
Space group P2/m (No. 10)
Inequivalent atoms, fractional coordinates:
Ca: 0.000 0.000 0.000
Ca: 0.500 0.500 0.000
Pu: 0.000 0.500 0.500
Sc: 0.500 0.000 0.500
Se: 0.258 0.000 0.744
Se: 0.265 0.500 0.263

Properties
The value obtained for the total magnetization is 0.761 μB/atom. Its uncorrected formation energy is -1.74 eV/atom.